Record 1
CePa2ReN5: optimized geometry, PBE.

Lattice parameters (Å, degrees): 6.5596 6.5596 11.6802 90.00 90.00 90.00
Space group I4/mcm (No. 140)
One atom of each set of equivalent atoms:
Ce: 0.0000 0.0000 0.2500
Pa: 0.1775 0.3225 0.0000
Re: 0.0000 0.5000 0.2500
N: 0.0000 0.0000 0.0000
N: 0.1499 0.3501 0.3668



Record 2
Li3CdPt: optimized geometry, PBE.

Lattice parameters (Å, degrees): 4.7420 4.7420 4.7420 90.00 90.00 90.00
Space group Pm-3m (No. 221)
One atom of each set of equivalent atoms:
Li: 0.0000 0.0000 0.5000
Cd: 0.5000 0.5000 0.5000
Pt: 0.0000 0.0000 0.0000

Calculated values
energy relative to the elements: -0.128 eV/atom
offset from the most stable computed form: 269 meV per atom



Result set for E: -9.96; -2.67 eV per atom, one per record in the order listed.